Below is a geometry-optimized NaLi2MnI6 structure, with properties calculated at the GGA-PBE level.

Output
energy: -31.70 eV/f.u.
formation energy from raw total energies: -0.81 eV/atom

CIF file:
```
data_NaLi2MnI6
_chemical_formula_sum 'Na4 Li8 Mn4 I24'
_symmetry_space_group_name_H-M 'C 1 2/c 1'
_symmetry_Int_Tables_number 15
_cell_length_a 15.265
_cell_length_b 13.950
_cell_length_c 8.090
_cell_angle_alpha 90.00
_cell_angle_beta 110.57
_cell_angle_gamma 90.00
loop_
_symmetry_equiv_pos_as_xyz
'x,y,z'
'-x,-y,-z'
'-x,y,-z+1/2'
'x,-y,z+1/2'
'x+1/2,y+1/2,z'
'-x+1/2,-y+1/2,-z'
'-x+1/2,y+1/2,-z+1/2'
'x+1/2,-y+1/2,z+1/2'
loop_
_atom_site_label
_atom_site_type_symbol
_atom_site_fract_x
_atom_site_fract_y
_atom_site_fract_z
Na1 Na 0.000 0.103 0.250
Li1 Li 0.067 0.424 0.133
Mn1 Mn 0.000 0.176 0.750
I1 I 0.116 0.230 0.059
I2 I 0.126 0.089 0.655
I3 I 0.126 0.421 0.493
```